Entry from Alexandria via LeMat-Bulk: Sb2Te3 after structural relaxation (PBE-GGA).

Summary:
- DFT total energy: -3.584 eV/atom
- ΔE_f (raw): -0.05 eV per atom

```
data_Sb2Te3
_cell_length_a 13.446
_cell_length_b 13.632
_cell_length_c 7.830
_cell_angle_alpha 90.00
_cell_angle_beta 90.00
_cell_angle_gamma 90.00
_space_group_name_H-M_alt 'F d d 2'
_space_group_IT_number 43
_space_group_name_Hall 'F 2 -2d'
loop_
_atom_site_label
_atom_site_type_symbol
_atom_site_fract_x
_atom_site_fract_y
_atom_site_fract_z
Sb1 Sb 0.055 0.126 0.000
Te1 Te 0.000 0.000 0.678
Te2 Te 0.101 0.196 0.371
```